Below is Ti6Sb2As after structural relaxation, with properties calculated at the GGA-PBE level.

The magnetic moment comes out at 0.0 μB per cell. The calculation puts the raw formation energy at -5.4 eV per formula unit. Its density of states at the Fermi level is 1.00 states/eV per atom.

It has space group P-62m (No. 189), with a = 7.1438 Å, b = 7.1438 Å, c = 3.6701 Å, α = 90.00°, β = 90.00° and γ = 120.00°. The asymmetric unit holds Ti at (0.0000, 0.3836, 0.0000), Ti at (0.0000, 0.7562, 0.5000), Sb at (0.3333, 0.6667, 0.5000) and As at (0.0000, 0.0000, 0.0000).